w) 10
Lattice="-0.996 -1.726 -5.768 -5.368 -2.391 1.643 -1.878 3.682 -0.777" Properties=species:S:1:pos:R:3 comment="Tc2Pt2S (PBE, optimized geometry)" total_magnetization_mub_per_cell=0.0 vol_a3_per_atom=15.7 n_ef_per_ev_atom=1.278 pbc="T T T"
S -3.182 -2.058 -2.062
Pt -6.141 -1.312 -2.756
Pt -4.591 0.019 -0.194
Tc -4.933 -2.650 -0.636
Tc -2.043 -1.098 -0.265
Pt -3.652 -0.454 -4.708
Tc -4.322 -3.019 -3.860
Tc -1.432 -1.467 -3.489
Pt -2.102 0.877 -2.146
S 0.000 0.000 0.000


x) 5
Lattice="-1.439 -2.693 1.974 3.228 -1.670 0.075 2.377 0.924 6.341" Properties=species:S:1:pos:R:3 comment="Tc2Pt2S (PBE, optimized geometry)" total_magnetization_mub_per_cell=0.0 vol_a3_per_atom=16.7 n_ef_per_ev_atom=1.140 pbc="T T T"
Pt 0.917 -1.975 4.670
S 0.000 0.000 0.000
Tc 2.990 -1.847 6.356
Tc 1.176 -1.591 2.034
Pt 3.250 -1.463 3.721


Name the least stable of them. x).


w) 5
Lattice="-0.487 -1.765 -4.624 0.059 -4.648 1.768 -4.949 0.118 0.476" Properties=species:S:1:pos:R:3 comment="TePt3S (PBE, optimized geometry)" total_magnetization_mub_per_cell=0.0 vol_a3_per_atom=24.6 n_ef_per_ev_atom=1.750 pbc="T T T"
Te 0.000 0.000 0.000
Pt -2.474 0.059 0.238
Pt 0.030 -2.324 0.884
Pt -0.243 -0.882 -2.312
S -2.688 -3.147 -1.190


x) 5
Lattice="4.609 0.000 0.000 0.000 4.609 0.000 0.000 0.000 4.609" Properties=species:S:1:pos:R:3 comment="TePt3S (PBE, optimized geometry)" total_magnetization_mub_per_cell=0.0 vol_a3_per_atom=19.6 n_ef_per_ev_atom=1.116 pbc="T T T"
Pt 2.304 0.000 0.000
Pt 0.000 2.304 0.000
Te 2.304 2.304 2.304
Pt 0.000 0.000 2.304
S 0.000 0.000 0.000


Name the least stable of them. w).


w) 8
Lattice="-0.950 -2.845 4.000 4.909 -0.566 0.763 2.005 3.981 6.432" Properties=species:S:1:pos:R:3 comment="TePt2S (PBE, optimized geometry)" total_magnetization_mub_per_cell=0.0 vol_a3_per_atom=21.8 n_ef_per_ev_atom=0.327 pbc="T T T"
S 1.979 -1.705 2.382
Pt 3.451 1.654 6.682
Pt 0.611 -0.586 3.827
Pt 4.506 0.055 8.920
Te 0.000 0.000 0.000
Te 1.517 -0.285 6.407
S 4.447 0.855 4.788
Pt 3.361 0.018 2.961


x) 4
Lattice="3.299 -2.041 -2.586 0.296 -4.650 -0.154 -1.170 -2.282 -3.893" Properties=species:S:1:pos:R:3 comment="TePt2S (PBE, optimized geometry)" total_magnetization_mub_per_cell=0.0 vol_a3_per_atom=17.9 n_ef_per_ev_atom=0.399 pbc="T T T"
S 0.000 0.000 0.000
Pt 0.606 -2.243 -1.658
Pt 1.819 -6.729 -4.975
Te 1.213 -4.486 -3.317


Name the least stable of them. x).


w) 5
Lattice="-1.860 3.449 2.226 -3.477 -2.622 1.158 2.181 -1.240 3.743" Properties=species:S:1:pos:R:3 comment="TiPt3S (PBE, optimized geometry)" total_magnetization_mub_per_cell=1.8 vol_a3_per_atom=18.3 n_ef_per_ev_atom=1.091 pbc="T T T"
Pt -0.930 1.724 1.113
Pt -1.739 -1.311 0.579
Ti -1.578 -0.207 3.564
Pt 1.091 -0.620 1.872
S 0.000 0.000 0.000


x) 5
Lattice="4.699 0.000 0.000 0.000 4.699 0.000 0.000 0.000 4.699" Properties=species:S:1:pos:R:3 comment="TiPt3S (PBE, optimized geometry)" total_magnetization_mub_per_cell=0.0 vol_a3_per_atom=20.8 n_ef_per_ev_atom=0.306 pbc="T T T"
Pt 2.350 0.000 0.000
S 2.350 2.350 2.350
Pt 0.000 2.350 0.000
Ti 0.000 0.000 0.000
Pt 0.000 0.000 2.350


Name the least stable of them. x).


w) 4
Lattice="1.887 0.000 7.555 -0.944 1.634 7.555 -0.944 -1.634 7.555" Properties=species:S:1:pos:R:3 comment="TiPtS2 (PBE, optimized geometry)" total_magnetization_mub_per_cell=0.0 vol_a3_per_atom=17.5 n_ef_per_ev_atom=0.873 pbc="T T T"
S 0.000 0.000 2.281
S 0.000 0.000 20.383
Ti 0.000 0.000 11.332
Pt 0.000 0.000 0.000


x) 8
Lattice="5.329 0.000 0.000 0.000 5.329 0.000 2.665 2.665 5.654" Properties=species:S:1:pos:R:3 comment="TiPtS2 (PBE, optimized geometry)" total_magnetization_mub_per_cell=0.0 vol_a3_per_atom=20.1 n_ef_per_ev_atom=0.130 pbc="T T T"
Ti 2.665 5.329 2.827
Pt 0.000 0.000 0.000
S 6.662 6.619 4.240
Pt 5.329 2.665 2.827
S 3.997 4.040 4.240
Ti 2.665 2.665 0.000
S 3.954 1.332 1.413
S 1.376 3.997 1.413


Name the least stable of them. x).


w) 5
Lattice="-4.571 -2.437 -1.138 -0.647 -1.183 5.129 -2.610 4.560 0.722" Properties=species:S:1:pos:R:3 comment="Tl3PtS (PBE, optimized geometry)" total_magnetization_mub_per_cell=0.0 vol_a3_per_atom=29.8 n_ef_per_ev_atom=0.361 pbc="T T T"
Tl -0.324 -0.591 2.565
Tl -2.285 -1.218 -0.569
Pt 0.000 0.000 0.000
S -3.914 0.470 2.356
Tl -1.305 2.280 0.361


x) 5
Lattice="5.443 0.000 0.000 0.000 5.443 0.000 0.000 0.000 5.443" Properties=species:S:1:pos:R:3 comment="Tl3PtS (PBE, optimized geometry)" total_magnetization_mub_per_cell=0.0 vol_a3_per_atom=32.3 n_ef_per_ev_atom=0.612 pbc="T T T"
Tl 0.000 0.000 2.722
Pt 2.722 2.722 2.722
Tl 0.000 2.722 0.000
S 0.000 0.000 0.000
Tl 2.722 0.000 0.000


Name the least stable of them. x).


w) 6
Lattice="3.507 0.000 -0.966 -0.104 6.402 -0.379 -0.053 0.332 6.659" Properties=species:S:1:pos:R:3 comment="TlPtS (PBE, optimized geometry)" total_magnetization_mub_per_cell=0.0 vol_a3_per_atom=24.9 n_ef_per_ev_atom=0.242 pbc="T T T"
Pt 1.754 0.000 -0.483
Tl 2.261 2.283 1.361
S 0.193 5.337 0.699
Tl 1.088 4.452 3.953
Pt -0.052 3.201 -0.190
S 3.157 1.397 4.615


x) 6
Lattice="-3.507 -2.226 -1.084 1.649 -5.647 -2.238 -1.289 -4.210 4.315" Properties=species:S:1:pos:R:3 comment="TlPtS (PBE, optimized geometry)" total_magnetization_mub_per_cell=0.0 vol_a3_per_atom=23.9 n_ef_per_ev_atom=0.449 pbc="T T T"
Tl -2.699 -3.910 -0.239
S -1.022 -6.061 -1.248
Pt -2.721 -7.582 -1.129
Pt -0.426 -4.501 2.122
Tl -0.448 -8.172 1.231
S -2.125 -6.022 2.241


y) 3
Lattice="4.014 0.000 0.000 -2.007 3.476 0.000 0.000 0.000 5.108" Properties=species:S:1:pos:R:3 comment="TlPtS (PBE, optimized geometry)" total_magnetization_mub_per_cell=0.0 vol_a3_per_atom=23.8 n_ef_per_ev_atom=0.777 pbc="T T T"
S 0.000 2.318 2.554
Pt 2.007 1.159 2.550
Tl 0.000 0.000 0.003


Name the least stable of them. x).


w) 10
Lattice="-2.060 6.264 -1.749 -3.896 0.280 5.592 2.216 1.144 1.487" Properties=species:S:1:pos:R:3 comment="V2PtS2 (PBE, optimized geometry)" total_magnetization_mub_per_cell=2.2 vol_a3_per_atom=13.5 n_ef_per_ev_atom=0.709 pbc="T T T"
V -2.027 6.017 1.227
S -1.905 4.094 -0.309
Pt 0.000 0.000 0.000
V -3.549 4.861 4.385
V -1.713 1.671 4.103
S -4.278 5.524 2.126
S -4.051 2.450 4.153
Pt -2.978 3.272 1.922
V -0.191 2.827 0.945
S -1.678 1.020 1.717


x) 5
Lattice="4.137 0.000 0.000 0.000 4.137 0.000 2.069 2.069 4.247" Properties=species:S:1:pos:R:3 comment="V2PtS2 (PBE, optimized geometry)" total_magnetization_mub_per_cell=0.0 vol_a3_per_atom=14.5 n_ef_per_ev_atom=0.738 pbc="T T T"
S 4.137 4.137 3.090
S 2.069 2.069 1.157
V 2.069 4.137 2.123
Pt 0.000 0.000 0.000
V 4.137 2.069 2.123


Name the least stable of them. w).